No. 1
The following is a DFT calculation (GGA-PBE) of crystalline CaIr2Se at its relaxed geometry.

Its total DFT energy (no corrections) is -0.4376 Ry per atom. For the density of states at the Fermi level, the calculation gives 2.426 states/eV per cell. As for the formation energy from raw total energies: -0.15 eV per atom. For the energy above the lowest structure with this stoichiometry, the calculation gives 89 meV/atom.

```
CaIr2Se
1.0
-1.873 -3.140 -1.146
-0.827 -0.973 4.018
-4.743 2.470 0.984
Ca Ir Se
1 2 1
Direct
0.500 0.814 0.731 Ca
0.000 0.947 0.119 Ir
0.500 0.278 0.204 Ir
0.000 0.461 0.446 Se
```

=====

No. 2
The following is a DFT calculation (GGA-PBE) of crystalline TlHg2Ru at its relaxed geometry.

Its total DFT energy (no corrections) is -0.1885 Ry per atom. For the density of states at the Fermi level, the calculation gives 2.832 states/eV per cell. For the energy above the lowest structure with this stoichiometry, the calculation gives 156 meV/atom. The formation energy is 0.497 eV per atom.

```
TlHg2Ru
1.0
5.697 0.026 0.000
2.743 4.993 0.000
-4.220 -2.510 2.889
Hg Ru Tl
2 1 1
Direct
0.000 0.000 0.000 Hg
0.500 0.500 0.000 Hg
0.250 0.750 0.500 Ru
0.750 0.250 0.500 Tl
```

=====

No. 3
The following is a DFT calculation (GGA-PBE) of crystalline V2BP at its relaxed geometry.

Its total DFT energy (no corrections) is -0.5327 Ry per atom. For the density of states at the Fermi level, the calculation gives 6.681 states/eV per cell. For the energy above the lowest structure with this stoichiometry, the calculation gives 959 meV/atom. The formation energy is 0.334 eV per atom.

```
V2BP
1.0
4.987 0.000 0.000
0.000 4.987 0.000
2.494 2.494 4.979
P B V
2 2 4
Direct
0.000 0.000 0.000 P
0.750 0.250 0.500 P
0.500 0.500 0.000 B
0.250 0.750 0.500 B
0.570 0.125 0.250 V
0.180 0.625 0.250 V
0.375 0.430 0.750 V
0.875 0.820 0.750 V
```

=====

No. 4
The following is a DFT calculation (GGA-PBE) of crystalline Rb3SbF12 at its relaxed geometry.

Its total DFT energy (no corrections) is -0.2648 Ry per atom. For the density of states at the Fermi level, the calculation gives 0.034 states/eV per cell. As for the formation energy from raw total energies: -1.76 eV per atom.

```
Rb3SbF12
1.0
7.595 4.801 0.017
-7.595 4.801 0.017
0.000 3.283 4.128
Rb Sb F
3 1 12
Direct
0.500 0.500 0.500 Rb
0.500 0.000 0.000 Rb
0.000 0.500 0.000 Rb
0.000 0.000 0.000 Sb
0.057 0.217 0.056 F
0.943 0.783 0.944 F
0.260 0.107 0.544 F
0.783 0.943 0.944 F
0.740 0.893 0.456 F
0.217 0.057 0.056 F
0.214 0.543 0.403 F
0.893 0.740 0.456 F
0.786 0.457 0.597 F
0.107 0.260 0.544 F
0.457 0.786 0.597 F
0.543 0.214 0.403 F
```

=====

No. 5
The following is a DFT calculation (GGA-PBE) of crystalline ZrAg2Se at its relaxed geometry.

Its total DFT energy (no corrections) is -0.3416 Ry per atom. For the density of states at the Fermi level, the calculation gives 1.911 states/eV per cell. As for the formation energy from raw total energies: -0.21 eV per atom.

```
ZrAg2Se
1.0
-3.999 0.647 -3.511
2.071 -1.915 -2.711
-1.529 -3.413 1.113
Ag Se Zr
2 1 1
Direct
0.000 0.998 0.998 Ag
0.000 0.502 0.502 Ag
0.500 0.250 0.250 Se
0.500 0.750 0.750 Zr
```

=====

No. 6
The following is a DFT calculation (GGA-PBE) of crystalline TbPr2Al2Ga2 at its relaxed geometry.

Its total DFT energy (no corrections) is -0.3223 Ry per atom. For the density of states at the Fermi level, the calculation gives 5.312 states/eV per cell. The formation energy is -0.424 eV per atom.

```
TbPr2Al2Ga2
1.0
4.279 0.000 0.000
2.140 3.706 0.000
2.140 1.235 11.420
Tb Pr Al Ga
1 2 2 2
Direct
0.000 0.000 0.000 Tb
0.122 0.122 0.634 Pr
0.878 0.878 0.366 Pr
0.607 0.607 0.178 Al
0.393 0.393 0.822 Al
0.727 0.727 0.819 Ga
0.273 0.273 0.181 Ga
```

=====

No. 7
The following is a DFT calculation (GGA-PBE) of crystalline Ga2GePd at its relaxed geometry.

Its total DFT energy (no corrections) is -0.2987 Ry per atom. For the density of states at the Fermi level, the calculation gives 2.089 states/eV per cell. The formation energy is -0.098 eV per atom.

```
Ga2GePd
1.0
3.907 0.000 0.000
0.000 4.177 0.000
0.000 0.000 4.177
Ge Ga Pd
1 2 1
Direct
0.500 0.500 0.500 Ge
0.000 0.000 0.500 Ga
0.000 0.500 0.000 Ga
0.500 0.000 0.000 Pd
```

=====

No. 8
The following is a DFT calculation (GGA-PBE) of crystalline ZnSb2ICl at its relaxed geometry.

Its total DFT energy (no corrections) is -0.1364 Ry per atom. For the density of states at the Fermi level, the calculation gives 6.666 states/eV per cell. As for the formation energy from raw total energies: 0.73 eV per atom. For the energy above the lowest structure with this stoichiometry, the calculation gives 381 meV/atom.

```
ZnSb2ICl
1.0
-2.868 2.456 -3.598
-3.982 0.269 3.358
2.355 6.122 2.302
I Sb Zn Cl
1 2 1 1
Direct
0.000 0.000 0.500 I
0.000 0.500 0.000 Sb
0.500 0.000 0.000 Sb
0.500 0.500 0.500 Zn
0.000 0.000 0.000 Cl
```

=====

No. 9
The following is a DFT calculation (GGA-PBE) of crystalline ZnCuPb at its relaxed geometry.

Its total DFT energy (no corrections) is -0.2084 Ry per atom. For the density of states at the Fermi level, the calculation gives 1.298 states/eV per cell. For the energy above the lowest structure with this stoichiometry, the calculation gives 123 meV/atom. The formation energy is 0.191 eV per atom.

```
ZnCuPb
1.0
-3.536 -2.004 -1.605
2.344 -1.901 3.161
-2.070 1.636 2.519
Cu Pb Zn
1 1 1
Direct
0.000 0.000 0.833 Cu
0.667 0.333 0.334 Pb
0.333 0.667 0.833 Zn
```

=====

No. 10
The following is a DFT calculation (GGA-PBE) of crystalline Ce4HgB3Rh12 at its relaxed geometry.

Its total DFT energy (no corrections) is -0.5216 Ry per atom. For the density of states at the Fermi level, the calculation gives 14.132 states/eV per cell. The formation energy is -0.482 eV per atom.

```
Ce4HgB3Rh12
1.0
7.610 0.000 0.000
-2.537 7.175 0.000
-2.537 -3.587 6.213
Ce Hg B Rh
4 1 3 12
Direct
0.500 0.500 0.500 Ce
0.000 0.000 0.500 Ce
0.500 0.000 0.000 Ce
0.000 0.500 0.000 Ce
0.000 0.000 0.000 Hg
0.500 0.000 0.500 B
0.500 0.500 0.000 B
0.000 0.500 0.500 B
0.250 0.500 0.750 Rh
0.716 0.000 0.716 Rh
0.284 0.000 0.284 Rh
0.750 0.500 0.250 Rh
0.716 0.716 0.000 Rh
0.284 0.284 0.000 Rh
0.750 0.250 0.500 Rh
0.250 0.750 0.500 Rh
0.500 0.250 0.750 Rh
0.000 0.716 0.716 Rh
0.500 0.750 0.250 Rh
0.000 0.284 0.284 Rh
```

=====

No. 11
The following is a DFT calculation (GGA-PBE) of crystalline TaRu2 at its relaxed geometry.

Its total DFT energy (no corrections) is -0.7467 Ry per atom. For the density of states at the Fermi level, the calculation gives 2.682 states/eV per cell. The formation energy is -0.025 eV per atom.

```
TaRu2
1.0
2.184 -3.783 0.000
2.184 3.783 0.000
0.000 0.000 2.821
Ta Ru
1 2
Direct
0.000 0.000 0.500 Ta
0.667 0.333 0.000 Ru
0.333 0.667 0.000 Ru
```

=====

No. 12
The following is a DFT calculation (GGA-PBE) of crystalline Ho3Hg2Pd3 at its relaxed geometry.

Its total DFT energy (no corrections) is -0.3256 Ry per atom. For the density of states at the Fermi level, the calculation gives 5.010 states/eV per cell. For the energy above the lowest structure with this stoichiometry, the calculation gives 0 meV/atom. The formation energy is -0.691 eV per atom.

```
Ho3Hg2Pd3
1.0
-1.770 -1.795 2.532
3.655 0.907 3.198
-5.415 8.743 -0.107
Ho Hg Pd
3 2 3
Direct
0.628 0.628 0.255 Ho
0.372 0.372 0.745 Ho
0.500 0.000 0.000 Ho
0.734 0.234 0.469 Hg
0.266 0.766 0.531 Hg
0.115 0.115 0.229 Pd
0.000 0.500 0.000 Pd
0.885 0.885 0.771 Pd
```

=====

Please write out number 1 again, unchanged.
The following is a DFT calculation (GGA-PBE) of crystalline CaIr2Se at its relaxed geometry.

Its total DFT energy (no corrections) is -0.4376 Ry per atom. For the density of states at the Fermi level, the calculation gives 2.426 states/eV per cell. As for the formation energy from raw total energies: -0.15 eV per atom. For the energy above the lowest structure with this stoichiometry, the calculation gives 89 meV/atom.

```
CaIr2Se
1.0
-1.873 -3.140 -1.146
-0.827 -0.973 4.018
-4.743 2.470 0.984
Ca Ir Se
1 2 1
Direct
0.500 0.814 0.731 Ca
0.000 0.947 0.119 Ir
0.500 0.278 0.204 Ir
0.000 0.461 0.446 Se
```

=====

Which value of total DFT energy (no corrections) does entry 9 give?
-0.2084 Ry per atom